(1)
Crystalline Ce2Sn3GePd4 at its relaxed geometry, computed with PBE.

The structure in extended XYZ format:
```
10
Lattice="4.570 0.000 0.000 0.000 4.570 0.000 0.000 0.000 10.482" Properties=species:S:1:pos:R:3 pbc="T T T"
Ce 0.000 2.285 2.583
Ce 2.285 0.000 7.899
Sn 0.000 0.000 0.000
Sn 0.000 2.285 6.619
Sn 2.285 0.000 3.863
Ge 2.285 2.285 0.000
Pd 0.000 0.000 5.241
Pd 0.000 2.285 9.215
Pd 2.285 0.000 1.267
Pd 2.285 2.285 5.241
```

Output
formation enthalpy at 0 K	-0.70	eV/atom
total magnetic moment	1.75	Bohr magnetons per cell
final energy	-56.3	eV/f.u.

(2)
Crystalline Ce2SnGe3Pd4 at its relaxed geometry, computed with PBE.

The structure in extended XYZ format:
```
10
Lattice="4.359 0.000 0.000 0.000 4.359 0.000 0.000 0.000 10.536" Properties=species:S:1:pos:R:3 pbc="T T T"
Ce 0.000 2.180 2.505
Ce 2.180 0.000 8.030
Sn 0.000 0.000 5.268
Ge 0.000 2.180 9.218
Ge 2.180 0.000 1.318
Ge 2.180 2.180 5.268
Pd 0.000 0.000 0.000
Pd 0.000 2.180 6.775
Pd 2.180 0.000 3.761
Pd 2.180 2.180 0.000
```

Output
formation enthalpy at 0 K	-0.75	eV/atom
total magnetic moment	1.49	Bohr magnetons per cell
final energy	-58.0	eV/f.u.

(3)
Crystalline Tb2Ce2Ge4Pd at its relaxed geometry, computed with PBE.

The structure in extended XYZ format:
```
9
Lattice="-3.619 3.619 4.094 3.619 -3.619 4.094 3.619 3.619 -4.094" Properties=species:S:1:pos:R:3 pbc="T T T"
Tb 3.619 0.000 2.047
Tb 0.000 3.619 2.047
Ce 0.000 0.000 1.359
Ce 0.000 0.000 6.829
Ge 1.866 1.866 0.000
Ge 1.753 -1.753 4.094
Ge -1.753 1.753 4.094
Ge 1.753 1.753 4.094
Pd 0.000 0.000 4.094
```

Output
formation enthalpy at 0 K	-0.45	eV/atom
total magnetic moment	1.78	Bohr magnetons per cell
final energy	-48.9	eV/f.u.